# 1
! MoWS3, relaxed, DFT PBE; values from VASP
! space-group type	Pm-3m, No. 221
! N(E_F)	2.48	states/eV/f.u.
! formation energy without anion corrections	0.661	eV/atom
! ρ	6079	kg/m³
! distance to the lowest polymorph of the same formula	0.000	eV per atom
&SYSTEM
  ibrav = 0, nat = 5, ntyp = 3
/
ATOMIC_SPECIES
Mo 95.94 Mo.upf
W 183.84 W.upf
S 32.06 S.upf
CELL_PARAMETERS angstrom
4.683 0.000 0.000
0.000 4.683 0.000
0.000 0.000 4.683
ATOMIC_POSITIONS crystal
Mo 0.000 0.000 0.000
W 0.500 0.500 0.500
S 0.000 0.500 0.500
S 0.500 0.000 0.500
S 0.500 0.500 0.000


# 2
! MoWS2, relaxed, DFT PBE; values from VASP
! space-group type	R-3m, No. 166
! N(E_F)	2.85	states/eV/f.u.
! formation energy without anion corrections	-0.076	eV/atom
! ρ	8927	kg/m³
! distance to the lowest polymorph of the same formula	0.000	eV per atom
&SYSTEM
  ibrav = 0, nat = 4, ntyp = 3
/
ATOMIC_SPECIES
Mo 95.94 Mo.upf
W 183.84 W.upf
S 32.06 S.upf
CELL_PARAMETERS angstrom
1.507 0.870 8.130
-1.507 0.870 8.130
0.000 -1.740 8.130
ATOMIC_POSITIONS crystal
Mo 0.000 0.000 0.000
W 0.500 0.500 0.500
S 0.403 0.403 0.403
S 0.597 0.597 0.597


Which of these has the lowest ρ?
MoWS3


Number 1 is which compound?
MoWS3


Copy entry 2 word for word.
! MoWS2, relaxed, DFT PBE; values from VASP
! space-group type	R-3m, No. 166
! N(E_F)	2.85	states/eV/f.u.
! formation energy without anion corrections	-0.076	eV/atom
! ρ	8927	kg/m³
! distance to the lowest polymorph of the same formula	0.000	eV per atom
&SYSTEM
  ibrav = 0, nat = 4, ntyp = 3
/
ATOMIC_SPECIES
Mo 95.94 Mo.upf
W 183.84 W.upf
S 32.06 S.upf
CELL_PARAMETERS angstrom
1.507 0.870 8.130
-1.507 0.870 8.130
0.000 -1.740 8.130
ATOMIC_POSITIONS crystal
Mo 0.000 0.000 0.000
W 0.500 0.500 0.500
S 0.403 0.403 0.403
S 0.597 0.597 0.597


Which value of formation energy without anion corrections does entry 2 give?
-0.076 eV/atom